DFT (PBE) results for an optimized crystal structure of KTl2ZnIr.

The structure in CIF format:
```
data_KTl2ZnIr
_chemical_formula_sum 'K1 Tl2 Zn1 Ir1'
_symmetry_space_group_name_H-M 'P 1'
_symmetry_Int_Tables_number 1
_symmetry_space_group_name_Hall 'P 1'
_cell_length_a 5.3061
_cell_length_b 5.3061
_cell_length_c 5.0471
_cell_angle_alpha 90.00
_cell_angle_beta 90.00
_cell_angle_gamma 90.00
loop_
_atom_site_label
_atom_site_fract_x
_atom_site_fract_y
_atom_site_fract_z
_atom_site_occupancy
Tl1 0.5000 0.0000 0.0000 1
Tl2 0.0000 0.5000 0.0000 1
Zn1 0.0000 0.0000 0.5000 1
K1 0.5000 0.5000 0.5000 1
Ir1 0.0000 0.0000 0.0000 1
```

Computed properties:
Energy of formation from the pure elements (eV per atom): -0.037
Calculated volume (Å³/cell): 142.1
Space group: No. 123
Fermi-level density of states (states/eV/atom): 0.344
Energy relative to the lowest polymorph listed for this composition (meV per atom): 0
ρ (g/cm³): 8.24